# 1
Computed, not measured: an optimized crystal structure of Nd2SmTe at the PBE level of DFT.

Values from the calculation:
As for the space-group type: R3m. For the formation energy without anion corrections, the calculation gives -559.1 meV/atom.

POSCAR file:
```
Nd2SmTe
1.0
2.013 1.162 9.956
-2.013 1.162 9.956
0.000 -2.324 9.956
Nd Sm Te
2 1 1
Cartesian
0.000 0.000 0.000
0.000 0.000 5.682
0.000 0.000 12.783
0.000 0.000 17.776
```

# 2
Computed, not measured: an optimized crystal structure of ScTaHg2 at the PBE level of DFT.

Values from the calculation:
As for the space-group type: Cmm2. The formation energy comes out at 49 meV per atom.

POSCAR file:
```
ScTaHg2
1.0
2.122 -2.125 0.000
2.122 2.125 0.000
0.000 0.000 9.259
Sc Ta Hg
1 1 2
Cartesian
0.000 0.000 0.000
2.122 0.000 7.070
0.000 0.000 4.830
2.122 0.000 2.333
```

# 3
Computed, not measured: an optimized crystal structure of NaGaI2O at the PBE level of DFT.

Values from the calculation:
As for the space-group type: P4/mmm. For the formation energy without anion corrections, the calculation gives -94.9 meV/atom.

POSCAR file:
```
NaGaI2O
1.0
6.072 0.000 0.000
0.000 6.072 0.000
0.000 0.000 4.409
Na Ga I O
1 1 2 1
Cartesian
0.000 0.000 0.000
3.036 3.036 2.204
0.000 3.036 0.000
3.036 0.000 0.000
0.000 0.000 2.204
```

# 4
Computed, not measured: an optimized crystal structure of VCuAgOs2 at the PBE level of DFT.

Values from the calculation:
As for the space-group type: P4/mmm. The formation energy comes out at 1866 meV per atom.

POSCAR file:
```
VCuAgOs2
1.0
4.473 0.000 0.000
0.000 4.473 0.000
0.000 0.000 4.434
V Cu Ag Os
1 1 1 2
Cartesian
0.000 0.000 0.000
2.237 2.237 2.217
2.237 2.237 0.000
0.000 2.237 2.217
2.237 0.000 2.217
```

# 5
Computed, not measured: an optimized crystal structure of SrAs2IrRu at the PBE level of DFT.

Values from the calculation:
As for the space-group type: I-4m2. The formation energy comes out at -669 meV per atom.

POSCAR file:
```
SrAs2IrRu
1.0
-2.073 2.073 5.943
2.073 -2.073 5.943
2.073 2.073 -5.943
Sr As Ir Ru
1 2 1 1
Cartesian
0.000 0.000 0.000
0.000 0.000 4.296
0.000 0.000 7.589
2.073 0.000 2.971
0.000 2.073 2.971
```

# 6
Computed, not measured: an optimized crystal structure of Hf3MnGa4 at the PBE level of DFT.

Values from the calculation:
As for the space-group type: Immm. The formation energy comes out at -175 meV per atom.

POSCAR file:
```
Hf3MnGa4
1.0
-1.473 2.734 9.047
1.473 -2.734 9.047
1.473 2.734 -9.047
Hf Mn Ga
3 1 4
Cartesian
0.000 0.000 0.000
1.473 0.000 4.674
0.000 2.734 4.373
0.000 0.000 9.047
1.473 1.376 -2.169
1.473 1.376 2.169
0.000 1.358 6.878
0.000 1.358 11.216
```

| no. | VASP energy (eV per cell) | density of states at the Fermi level (states/eV/cell) |
| --- | --- | --- |
| 1 | -19.6 | 4.53 |
| 2 | -18.6 | 1.75 |
| 3 | -12.9 | 3.73 |
| 4 | -29.2 | 6.28 |
| 5 | -32.5 | 2.00 |
| 6 | -52.5 | 5.95 |